# 1
Entry from the Alexandria database: a geometry-optimized Cs3Br3Cl structure (PBE).

Values from the calculation:
Formation energy without anion corrections = -1.520 eV/atom
M_tot = 0.33 Bohr magnetons per cell

```
Cs3Br3Cl
1.0
5.1021 -5.0474 0.0000
5.1021 5.0474 0.0000
-4.9180 0.0000 14.7210
Cs Br Cl
6 6 2
Direct
0.1297 0.6299 0.7522
0.2488 0.2488 0.9975
0.3701 0.8703 0.2478
0.6299 0.1297 0.7522
0.7512 0.7512 0.0025
0.8703 0.3701 0.2478
0.1224 0.1224 0.7368
0.2501 0.7499 0.0000
0.3856 0.6144 0.5000
0.6144 0.3856 0.5000
0.7499 0.2501 0.0000
0.8776 0.8776 0.2632
0.3619 0.3619 0.2308
0.6381 0.6381 0.7692
```



# 2
Entry from the Alexandria database: a geometry-optimized CsBrCl3 structure (PBE).

Values from the calculation:
Formation energy without anion corrections = -0.672 eV/atom
M_tot = 4.00 Bohr magnetons per cell

```
CsBrCl3
1.0
8.3505 0.0000 0.0000
0.0000 11.6686 0.0000
0.0000 0.0000 8.7600
Cs Br Cl
4 4 12
Direct
0.0000 0.0000 0.0000
0.0000 0.5000 0.0000
0.5000 0.0000 0.5000
0.5000 0.5000 0.5000
0.0335 0.2500 0.4883
0.4665 0.7500 0.9883
0.5335 0.2500 0.0117
0.9665 0.7500 0.5117
0.1441 0.6018 0.6537
0.1441 0.8982 0.6537
0.2482 0.2500 0.6627
0.2518 0.7500 0.1627
0.3559 0.1018 0.1537
0.3559 0.3982 0.1537
0.6441 0.6018 0.8463
0.6441 0.8982 0.8463
0.7482 0.2500 0.8373
0.7518 0.7500 0.3373
0.8559 0.1018 0.3463
0.8559 0.3982 0.3463
```



# 3
Entry from the Alexandria database: a geometry-optimized Cs2Br6Cl3 structure (PBE).

Values from the calculation:
Formation energy without anion corrections = -0.670 eV/atom
M_tot = 0.29 Bohr magnetons per cell

```
Cs2Br6Cl3
1.0
10.8200 -3.5515 0.0000
10.8200 3.5515 0.0000
-1.9655 0.0000 7.6132
Cs Br Cl
2 6 3
Direct
0.1578 0.1578 0.2397
0.8422 0.8422 0.7603
0.0092 0.0092 0.6603
0.3073 0.3073 0.9229
0.3190 0.3190 0.6046
0.6810 0.6810 0.3954
0.6927 0.6927 0.0771
0.9908 0.9908 0.3397
0.0000 0.0000 0.0000
0.3217 0.3217 0.2383
0.6783 0.6783 0.7617
```



# 4
Entry from the Alexandria database: a geometry-optimized CsBrCl3 structure (PBE).

Values from the calculation:
Formation energy without anion corrections = -0.720 eV/atom
M_tot = 2.00 Bohr magnetons per cell

```
CsBrCl3
1.0
5.8772 0.0000 0.0000
-2.9386 5.0898 0.0000
0.0000 0.0000 14.2065
Cs Br Cl
2 2 6
Direct
0.0000 0.0000 0.0000
0.0000 0.0000 0.5000
0.3333 0.6667 0.2500
0.6667 0.3333 0.7500
0.0000 0.0000 0.2500
0.0000 0.0000 0.7500
0.3333 0.6667 0.0825
0.3333 0.6667 0.4175
0.6667 0.3333 0.5825
0.6667 0.3333 0.9175
```



# 5
Entry from the Alexandria database: a geometry-optimized CsBrCl3 structure (PBE).

Values from the calculation:
Formation energy without anion corrections = -0.569 eV/atom
M_tot = 2.00 Bohr magnetons per cell

```
CsBrCl3
1.0
4.2326 2.4437 7.5715
-4.2326 2.4437 7.5715
0.0000 -4.8874 7.5715
Cs Br Cl
2 2 6
Direct
0.0000 0.0000 0.0000
0.5000 0.5000 0.5000
0.2500 0.2500 0.2500
0.7500 0.7500 0.7500
0.0501 0.7500 0.4499
0.2500 0.5501 0.9499
0.4499 0.0501 0.7500
0.5501 0.9499 0.2500
0.7500 0.4499 0.0501
0.9499 0.2500 0.5501
```



# 6
Entry from the Alexandria database: a geometry-optimized Cs2BrCl2 structure (PBE).

Values from the calculation:
E above lowest polymorph = 0.0024 eV/atom
Formation energy without anion corrections = -1.398 eV/atom
M_tot = 0.83 Bohr magnetons per cell

```
Cs2BrCl2
1.0
4.7008 -2.7340 0.0000
4.7008 2.7340 0.0000
-3.0379 0.0000 9.6673
Cs Br Cl
2 1 2
Direct
0.2326 0.2326 0.2067
0.7674 0.7674 0.7933
0.5000 0.5000 0.0000
0.0504 0.0504 0.6326
0.9496 0.9496 0.3674
```



# 7
Entry from the Alexandria database: a geometry-optimized CsBrCl3 structure (PBE).

Values from the calculation:
Formation energy without anion corrections = -0.818 eV/atom
M_tot = 0.00 Bohr magnetons per cell

```
CsBrCl3
1.0
5.0315 0.0000 0.0000
-0.6074 9.0960 0.0000
-1.6945 -3.1495 9.8236
Cs Br Cl
2 2 6
Direct
0.0000 0.0000 0.0000
0.1519 0.4764 0.3173
0.4973 0.6410 0.0688
0.9368 0.5757 0.7211
0.1225 0.4505 0.8927
0.3564 0.1691 0.7587
0.5185 0.9696 0.6771
0.5787 0.2265 0.1725
0.7631 0.6920 0.5568
0.8309 0.8046 0.2371
```



# 8
Entry from the Alexandria database: a geometry-optimized CsBrCl3 structure (PBE).

Values from the calculation:
Formation energy without anion corrections = -0.738 eV/atom
M_tot = 0.00 Bohr magnetons per cell

```
CsBrCl3
1.0
4.7636 0.0000 0.0000
0.0000 9.2307 0.0000
-0.1420 0.0000 9.4494
Cs Br Cl
2 2 6
Direct
0.0039 0.2500 0.1250
0.9961 0.7500 0.8750
0.4944 0.7500 0.3388
0.5056 0.2500 0.6612
0.4880 0.7500 0.5896
0.4987 0.5670 0.1197
0.4987 0.9330 0.1197
0.5013 0.0670 0.8803
0.5013 0.4330 0.8803
0.5120 0.2500 0.4104
```



# 9
Entry from the Alexandria database: a geometry-optimized CsBrCl3 structure (PBE).

Values from the calculation:
Formation energy without anion corrections = -0.856 eV/atom
M_tot = 0.00 Bohr magnetons per cell

```
CsBrCl3
1.0
5.8241 0.0000 0.0000
-0.9079 6.6369 0.0000
-0.9682 -0.2485 10.6790
Cs Br Cl
2 2 6
Direct
0.0000 0.0000 0.0000
0.4015 0.3912 0.4665
0.1145 0.6038 0.7417
0.5462 0.9865 0.2496
0.2318 0.7137 0.2349
0.3168 0.4769 0.9263
0.5269 0.2038 0.7938
0.6901 0.0061 0.6866
0.8563 0.2732 0.2642
0.9256 0.7332 0.5568
```



# 10
Entry from the Alexandria database: a geometry-optimized CsBrCl3 structure (PBE).

Values from the calculation:
Formation energy without anion corrections = -0.566 eV/atom
M_tot = 2.00 Bohr magnetons per cell

```
CsBrCl3
1.0
4.7808 -5.4220 0.0000
4.7808 5.4220 0.0000
0.0000 0.0000 7.1752
Cs Br Cl
2 2 6
Direct
0.1546 0.8454 0.7500
0.8454 0.1546 0.2500
0.3398 0.6602 0.2500
0.6602 0.3398 0.7500
0.0522 0.3288 0.7500
0.3288 0.0522 0.2500
0.5000 0.5000 0.0000
0.5000 0.5000 0.5000
0.6712 0.9478 0.7500
0.9478 0.6712 0.2500
```



# 11
Entry from the Alexandria database: a geometry-optimized CsBrCl3 structure (PBE).

Values from the calculation:
Formation energy without anion corrections = -0.857 eV/atom
M_tot = 0.00 Bohr magnetons per cell

```
CsBrCl3
1.0
6.6464 0.0000 0.0000
-1.8005 6.5461 0.0000
-0.1779 -2.9094 10.1606
Cs Br Cl
2 2 6
Direct
0.0000 0.0000 0.0000
0.2426 0.4102 0.6125
0.5783 0.2170 0.2977
0.8193 0.8358 0.5058
0.0159 0.4693 0.9231
0.3481 0.4026 0.2626
0.3587 0.0101 0.7536
0.6805 0.2379 0.8377
0.8050 0.6514 0.6637
0.8516 0.0272 0.3298
```



# 12
Entry from the Alexandria database: a geometry-optimized CsBrCl structure (PBE).

Values from the calculation:
E above lowest polymorph = 0.0000 eV/atom
Formation energy without anion corrections = -1.348 eV/atom
M_tot = 0.00 Bohr magnetons per cell

```
CsBrCl
1.0
11.2414 -2.4571 0.0000
11.2414 2.4571 0.0000
-0.8718 0.0000 4.8283
Cs Br Cl
2 2 2
Direct
0.1569 0.1569 0.1777
0.8431 0.8431 0.8223
0.4446 0.4446 0.4348
0.5554 0.5554 0.5652
0.3158 0.3158 0.2985
0.6842 0.6842 0.7015
```